{
  "formula": "Fe3BiF",
  "functional": "PBE+U",
  "state": "relaxed",
  "space_group": "No. 221",
  "crystal_system": "cubic",
  "relative_energy_mev_per_atom": 0,
  "total_magnetization_mub_per_atom": 2.007,
  "cell": [[-0.617, -2.675, -3.393], [4.172, 0.523, -1.171], [1.125, -3.408, 2.483]],
  "species": ["F", "Fe", "Fe", "Fe", "Bi"],
  "frac_coords": [[0.000, 0.000, 0.000], [0.000, 0.500, 0.000], [0.500, 0.000, 0.000], [0.000, 0.000, 0.500], [0.500, 0.500, 0.500]]
}



{
  "formula": "FeBiF3",
  "functional": "PBE+U",
  "state": "relaxed",
  "space_group": "No. 221",
  "crystal_system": "cubic",
  "relative_energy_mev_per_atom": 0,
  "total_magnetization_mub_per_atom": 0.786,
  "cell": [[-3.468, -1.928, -1.465], [-0.053, -2.498, 3.413], [-2.421, 2.817, 2.024]],
  "species": ["F", "F", "F", "Fe", "Bi"],
  "frac_coords": [[0.000, 0.500, 0.000], [0.000, 0.000, 0.500], [0.500, 0.000, 0.000], [0.000, 0.000, 0.000], [0.500, 0.500, 0.500]]
}



{
  "formula": "FeBiF3",
  "functional": "PBE+U",
  "state": "relaxed",
  "space_group": "No. 221",
  "crystal_system": "cubic",
  "relative_energy_mev_per_atom": 385,
  "total_magnetization_mub_per_atom": 0.800,
  "cell": [[4.661, 0.000, 0.000], [0.000, 4.661, 0.000], [0.000, 0.000, 4.661]],
  "species": ["F", "F", "Fe", "F", "Bi"],
  "frac_coords": [[0.500, 0.000, 0.000], [0.000, 0.000, 0.500], [0.500, 0.500, 0.500], [0.000, 0.500, 0.000], [0.000, 0.000, 0.000]]
}



{
  "formula": "Fe2BiF",
  "functional": "PBE+U",
  "state": "relaxed",
  "space_group": "No. 122",
  "crystal_system": "tetragonal",
  "relative_energy_mev_per_atom": 0,
  "total_magnetization_mub_per_atom": 1.986,
  "cell": [[-2.025, 2.711, 3.878], [-4.097, -3.115, 0.038], [-0.027, -4.140, 6.295]],
  "species": ["Fe", "Fe", "Bi", "Fe", "Fe", "F", "F", "Bi"],
  "frac_coords": [[0.484, 0.625, 0.250], [0.375, 0.734, 0.750], [0.750, 0.250, 0.500], [0.266, 0.125, 0.250], [0.875, 0.516, 0.750], [0.250, 0.750, 0.500], [0.500, 0.500, 0.000], [0.000, 0.000, 0.000]]
}



{
  "formula": "Fe2BiF",
  "functional": "PBE+U",
  "state": "relaxed",
  "space_group": "No. 225",
  "crystal_system": "cubic",
  "relative_energy_mev_per_atom": 375,
  "total_magnetization_mub_per_atom": 1.835,
  "cell": [[0.000, 3.300, 3.300], [3.300, 0.000, 3.300], [3.300, 3.300, 0.000]],
  "species": ["Fe", "Bi", "F", "Fe"],
  "frac_coords": [[0.250, 0.250, 0.250], [0.500, 0.500, 0.500], [0.000, 0.000, 0.000], [0.750, 0.750, 0.750]]
}



{
  "formula": "FeBi2F8",
  "functional": "PBE+U",
  "state": "relaxed",
  "space_group": "No. 12",
  "crystal_system": "monoclinic",
  "e_tot_ev_per_fu": -54.60,
  "total_magnetization_mub_per_atom": 0.364,
  "cell": [[-2.982, 1.699, 1.119], [-3.328, -4.024, -2.757], [1.582, -4.974, 5.946]],
  "species": ["F", "F", "F", "F", "F", "F", "Bi", "F", "F", "Bi", "Fe"],
  "frac_coords": [[0.602, 0.483, 0.203], [0.769, 0.671, 0.538], [0.015, 0.787, 0.030], [0.369, 0.047, 0.739], [0.398, 0.517, 0.797], [0.231, 0.329, 0.462], [0.843, 0.329, 0.686], [0.985, 0.213, 0.970], [0.631, 0.953, 0.261], [0.157, 0.671, 0.314], [0.500, 0.000, 0.000]]
}